# 1
# GGA-PBE Dy3Y4Sc, optimized geometry
data_Dy3Y4Sc
_chemical_formula_sum 'Dy6 Y8 Sc2'
_symmetry_space_group_name_H-M 'P m n 21'
_symmetry_Int_Tables_number 31
_cell_length_a 11.158
_cell_length_b 7.214
_cell_length_c 6.224
_cell_angle_alpha 90.00
_cell_angle_beta 90.00
_cell_angle_gamma 90.00
loop_
_symmetry_equiv_pos_as_xyz
'x,y,z'
'-x+1/2,-y,z+1/2'
'-x,y,z'
'x+1/2,-y,z+1/2'
loop_
_atom_site_label
_atom_site_fract_x
_atom_site_fract_y
_atom_site_fract_z
Dy1 0.000 0.122 0.000
Dy2 0.250 0.121 0.329
Y1 0.000 0.371 0.501
Y2 0.000 0.627 0.994
Y3 0.246 0.628 0.337
Sc1 0.000 0.877 0.499
# Energy relative to the elements ... 0.3 kcal/mol of atoms
# Energy above the most stable polymorph in this dataset ... 0 meV/atom
# D(E_F) ... 29.1 states/eV per cell
# V ... 501.00 Å³/cell
# Total magnetic moment ... 0.001 μB/cell

# 2
# GGA-PBE Sc2MnTc, optimized geometry
data_Sc2MnTc
_chemical_formula_sum 'Sc2 Mn1 Tc1'
_symmetry_space_group_name_H-M 'P 4 m m'
_symmetry_Int_Tables_number 99
_cell_length_a 2.966
_cell_length_b 2.966
_cell_length_c 8.145
_cell_angle_alpha 90.00
_cell_angle_beta 90.00
_cell_angle_gamma 90.00
loop_
_symmetry_equiv_pos_as_xyz
'x,y,z'
'-y,x,z'
'-x,-y,z'
'y,-x,z'
'-x,y,z'
'y,x,z'
'x,-y,z'
'-y,-x,z'
loop_
_atom_site_label
_atom_site_fract_x
_atom_site_fract_y
_atom_site_fract_z
Sc1 0.000 0.000 0.000
Sc2 0.500 0.500 0.367
Mn1 0.500 0.500 0.772
Tc1 0.000 0.000 0.611
# Energy relative to the elements ... -1.3 kcal/mol of atoms
# D(E_F) ... 4.0 states/eV per cell
# V ... 71.67 Å³/cell
# Total magnetic moment ... 0.000 μB/cell

# 3
# GGA-PBE ZrInSe2, optimized geometry
data_ZrInSe2
_chemical_formula_sum 'Zr4 In4 Se8'
_symmetry_space_group_name_H-M 'C m c m'
_symmetry_Int_Tables_number 63
_symmetry_space_group_name_Hall '-C 2c 2'
_cell_length_a 3.809
_cell_length_b 22.756
_cell_length_c 5.297
_cell_angle_alpha 90.00
_cell_angle_beta 90.00
_cell_angle_gamma 90.00
loop_
_atom_site_label
_atom_site_fract_x
_atom_site_fract_y
_atom_site_fract_z
Zr1 0.000 0.062 0.250
In1 0.000 0.319 0.250
Se1 0.000 0.058 0.750
Se2 0.000 0.174 0.250
# D(E_F) ... 8.8 states/eV per cell
# V ... 459.14 Å³/cell
# Formation energy (no corrections) ... -0.53 eV/atom
# Total magnetic moment ... 0.000 μB/cell

# 4
# GGA-PBE EuGd2Ga, optimized geometry
data_EuGd2Ga
_chemical_formula_sum 'Eu1 Gd2 Ga1'
_symmetry_space_group_name_H-M 'P 4/m m m'
_symmetry_Int_Tables_number 123
_symmetry_space_group_name_Hall '-P 4 2'
_cell_length_a 4.876
_cell_length_b 4.876
_cell_length_c 4.719
_cell_angle_alpha 90.00
_cell_angle_beta 90.00
_cell_angle_gamma 90.00
loop_
_atom_site_label
_atom_site_fract_x
_atom_site_fract_y
_atom_site_fract_z
Eu1 0.000 0.000 0.000
Gd1 0.000 0.500 0.500
Ga1 0.500 0.500 0.000
# Energy relative to the elements ... -4.6 kcal/mol of atoms
# Energy above the most stable polymorph in this dataset ... 0 meV/atom
# D(E_F) ... 5.3 states/eV per cell
# V ... 112.17 Å³/cell
# Total magnetic moment ... 22.189 μB/cell

# 5
# GGA-PBE LiBeGeO4, optimized geometry
data_LiBeGeO4
_chemical_formula_sum 'Li2 Be2 Ge2 O8'
_symmetry_space_group_name_H-M 'I -4'
_symmetry_Int_Tables_number 82
_cell_length_a 4.530
_cell_length_b 4.530
_cell_length_c 7.864
_cell_angle_alpha 90.00
_cell_angle_beta 90.00
_cell_angle_gamma 90.00
loop_
_symmetry_equiv_pos_as_xyz
'x,y,z'
'y,-x,-z'
'-x,-y,z'
'-y,x,-z'
'x+1/2,y+1/2,z+1/2'
'y+1/2,-x+1/2,-z+1/2'
'-x+1/2,-y+1/2,z+1/2'
'-y+1/2,x+1/2,-z+1/2'
loop_
_atom_site_label
_atom_site_fract_x
_atom_site_fract_y
_atom_site_fract_z
Li1 0.000 0.000 0.000
Be1 0.000 0.500 0.750
Ge1 0.000 0.000 0.500
O1 0.175 0.282 0.621
# D(E_F) ... 8.5 states/eV per cell
# V ... 161.39 Å³/cell
# Formation energy (no corrections) ... -1.81 eV/atom
# Total magnetic moment ... 2.001 μB/cell

# 6
# GGA-PBE Ti3Al4Cu2, optimized geometry
data_Ti3Al4Cu2
_chemical_formula_sum 'Ti6 Al8 Cu4'
_symmetry_space_group_name_H-M 'C 1 2/m 1'
_symmetry_Int_Tables_number 12
_cell_length_a 9.384
_cell_length_b 4.280
_cell_length_c 7.956
_cell_angle_alpha 90.00
_cell_angle_beta 120.73
_cell_angle_gamma 90.00
loop_
_symmetry_equiv_pos_as_xyz
'x,y,z'
'-x,-y,-z'
'-x,y,-z'
'x,-y,z'
'x+1/2,y+1/2,z'
'-x+1/2,-y+1/2,-z'
'-x+1/2,y+1/2,-z'
'x+1/2,-y+1/2,z'
loop_
_atom_site_label
_atom_site_fract_x
_atom_site_fract_y
_atom_site_fract_z
Ti1 0.000 0.000 0.000
Ti2 0.160 0.500 0.673
Al1 0.073 0.000 0.399
Al2 0.212 0.500 0.055
Cu1 0.110 0.500 0.279
# Energy relative to the elements ... -8.0 kcal/mol of atoms
# D(E_F) ... 11.6 states/eV per cell
# V ... 274.66 Å³/cell
# Total magnetic moment ... 0.000 μB/cell

# 7
# GGA-PBE GaSi2HS, optimized geometry
data_GaSi2HS
_chemical_formula_sum 'Ga2 Si4 H2 S2'
_symmetry_space_group_name_H-M 'C 1 m 1'
_symmetry_Int_Tables_number 8
_cell_length_a 5.898
_cell_length_b 4.982
_cell_length_c 5.623
_cell_angle_alpha 90.00
_cell_angle_beta 97.60
_cell_angle_gamma 90.00
loop_
_symmetry_equiv_pos_as_xyz
'x,y,z'
'x,-y,z'
'x+1/2,y+1/2,z'
'x+1/2,-y+1/2,z'
loop_
_atom_site_label
_atom_site_fract_x
_atom_site_fract_y
_atom_site_fract_z
Ga1 0.000 0.000 0.000
Si1 0.040 0.500 0.493
Si2 0.133 0.000 0.431
H1 0.046 0.000 0.699
S1 0.092 0.500 0.897
# Energy above the most stable polymorph in this dataset ... 265 meV/atom
# D(E_F) ... 1.8 states/eV per cell
# V ... 163.76 Å³/cell
# Total magnetic moment ... 0.000 μB/cell

# 8
# GGA-PBE Zr2RuN2, optimized geometry
data_Zr2RuN2
_chemical_formula_sum 'Zr4 Ru2 N4'
_symmetry_space_group_name_H-M 'I 4/m m m'
_symmetry_Int_Tables_number 139
_symmetry_space_group_name_Hall '-I 4 2'
_cell_length_a 3.786
_cell_length_b 3.786
_cell_length_c 10.994
_cell_angle_alpha 90.00
_cell_angle_beta 90.00
_cell_angle_gamma 90.00
loop_
_atom_site_label
_atom_site_fract_x
_atom_site_fract_y
_atom_site_fract_z
Zr1 0.000 0.000 0.161
Ru1 0.000 0.000 0.500
N1 0.000 0.500 0.250
# D(E_F) ... 11.2 states/eV per cell
# V ... 157.58 Å³/cell
# Formation energy (no corrections) ... -0.46 eV/atom
# Total magnetic moment ... 3.396 μB/cell

Copy entry 4 word for word.
# GGA-PBE EuGd2Ga, optimized geometry
data_EuGd2Ga
_chemical_formula_sum 'Eu1 Gd2 Ga1'
_symmetry_space_group_name_H-M 'P 4/m m m'
_symmetry_Int_Tables_number 123
_symmetry_space_group_name_Hall '-P 4 2'
_cell_length_a 4.876
_cell_length_b 4.876
_cell_length_c 4.719
_cell_angle_alpha 90.00
_cell_angle_beta 90.00
_cell_angle_gamma 90.00
loop_
_atom_site_label
_atom_site_fract_x
_atom_site_fract_y
_atom_site_fract_z
Eu1 0.000 0.000 0.000
Gd1 0.000 0.500 0.500
Ga1 0.500 0.500 0.000
# Energy relative to the elements ... -4.6 kcal/mol of atoms
# Energy above the most stable polymorph in this dataset ... 0 meV/atom
# D(E_F) ... 5.3 states/eV per cell
# V ... 112.17 Å³/cell
# Total magnetic moment ... 22.189 μB/cell

> total magnetic moment of number 5 (LiBeGeO4)?

2.001 μB/cell

> What is the D(E_F) in the eighth record?

11.2 states/eV per cell

> What is the formula in the first record?

Dy3Y4Sc